Below is a geometry-optimized PrY2Ga2 structure, with properties calculated at the GGA-PBE level.

Output
calculated density = 5.82 g cm⁻³
total energy = -5.22 eV/atom
excess energy over the best structure of this formula in the dataset = 0.000 eV per atom
formation energy = -0.47 eV/atom

Structure (extended XYZ):
```
10
Lattice="-0.5221 1.1807 3.5317 -8.2610 -0.3262 -1.1121 -0.0429 -7.9133 2.6392" Properties=species:S:1:pos:R:3 pbc="T T T"
Y -6.8489 -6.7958 1.2595
Y -1.4550 -1.4437 0.2676
Y -5.5919 -2.7904 0.1063
Y -2.7120 -5.4491 1.4209
Ga -1.2839 -6.4181 3.9577
Ga -7.5420 -0.6406 1.1011
Ga -3.4227 -2.5468 2.3473
Ga -5.4032 -4.5120 2.7115
Pr -0.2825 -3.3663 3.0855
Pr -4.3915 0.4273 1.2098
```